No. 1
A relaxed Ta2FeMoH crystal. Source: Alexandria, functional PBE.

Output
Distance to the lowest polymorph of the same formula, eV per atom: 0.1974
Space group: P4/mmm
M_tot, μB per formula unit: 0.00
DFT total energy, eV/cell: -46.026
D(E_F), states/eV per cell: 4.662

Unit cell a=4.395 b=4.395 c=3.415 alpha=90.00 beta=90.00 gamma=90.00
Positions (direct):
Ta: 0.000 0.500 0.000
Ta: 0.500 0.000 0.000
Fe: 0.000 0.000 0.500
Mo: 0.500 0.500 0.500
H: 0.500 0.500 0.000

No. 2
A relaxed CrRe2Se crystal. Source: Alexandria, functional PBE.

Output
Formation energy (no corrections), eV per atom: 0.56
Distance to the lowest polymorph of the same formula, eV per atom: 0.3504
Space group: Cmm2
M_tot, μB per formula unit: 1.53
DFT total energy, eV/cell: -35.765
D(E_F), states/eV per cell: 4.320

Unit cell a=2.744 b=2.744 c=9.109 alpha=90.00 beta=90.00 gamma=113.52
Positions (direct):
Cr: 0.000 0.000 0.000
Re: 0.000 0.000 0.465
Re: 0.500 0.500 0.229
Se: 0.500 0.500 0.784

No. 3
A relaxed CeZn2GaAu2 crystal. Source: Alexandria, functional PBE.

Output
Space group: P4/mmm
Energy of formation, eV/atom: -0.110
M_tot, μB per formula unit: 1.18
DFT total energy, eV/cell: -18.721
D(E_F), states/eV per cell: 9.690

Unit cell a=4.641 b=4.641 c=5.924 alpha=90.00 beta=90.00 gamma=90.00
Positions (direct):
Ce: 0.000 0.000 0.000
Zn: 0.000 0.500 0.500
Zn: 0.500 0.000 0.500
Ga: 0.000 0.000 0.500
Au: 0.500 0.500 0.232
Au: 0.500 0.500 0.768

No. 4
A relaxed SmHgBi2 crystal. Source: Alexandria, functional PBE.

Output
Distance to the lowest polymorph of the same formula, eV per atom: 0.0180
Space group: P4/mmm
Energy of formation, eV/atom: -0.416
M_tot, μB per formula unit: 0.00
DFT total energy, eV/cell: -14.447
D(E_F), states/eV per cell: 2.882

Unit cell a=4.300 b=4.300 c=6.607 alpha=90.00 beta=90.00 gamma=90.00
Positions (direct):
Sm: 0.000 0.000 0.000
Hg: 0.000 0.000 0.500
Bi: 0.500 0.500 0.232
Bi: 0.500 0.500 0.768

No. 5
A relaxed LiSc crystal. Source: Alexandria, functional PBE.

Output
Distance to the lowest polymorph of the same formula, eV per atom: 1.3700
Space group: Pm-3n
Energy of formation, eV/atom: 1.461
M_tot, μB per formula unit: 2.01
DFT total energy, eV/cell: -31.934
D(E_F), states/eV per cell: 18.976

Unit cell a=7.784 b=7.784 c=7.784 alpha=90.00 beta=90.00 gamma=90.00
Positions (direct):
Li: 0.000 0.250 0.500
Li: 0.000 0.750 0.500
Li: 0.250 0.500 0.000
Li: 0.500 0.000 0.250
Li: 0.500 0.000 0.750
Li: 0.750 0.500 0.000
Sc: 0.000 0.500 0.250
Sc: 0.000 0.500 0.750
Sc: 0.250 0.000 0.500
Sc: 0.500 0.250 0.000
Sc: 0.500 0.750 0.000
Sc: 0.750 0.000 0.500

No. 6
A relaxed LiTbErIn crystal. Source: Alexandria, functional PBE.

Output
Space group: F-43m
Energy of formation, eV/atom: -0.262
M_tot, μB per formula unit: 0.00
DFT total energy, eV/cell: -14.894
D(E_F), states/eV per cell: 3.293

Unit cell a=5.260 b=5.260 c=5.260 alpha=60.00 beta=60.00 gamma=60.00
Positions (direct):
Li: 0.000 0.000 0.000
Tb: 0.750 0.750 0.750
Er: 0.250 0.250 0.250
In: 0.500 0.500 0.500

No. 7
A relaxed PdI4Cl crystal. Source: Alexandria, functional PBE.

Output
Formation energy (no corrections), eV per atom: -0.06
Distance to the lowest polymorph of the same formula, eV per atom: 0.0000
Space group: P-1
M_tot, μB per formula unit: 0.00
DFT total energy, eV/cell: -13.592
D(E_F), states/eV per cell: 1.789

Unit cell a=4.965 b=7.335 c=7.591 alpha=70.25 beta=82.88 gamma=87.73
Positions (direct):
Pd: 0.000 0.000 0.000
I: 0.119 0.710 0.874
I: 0.313 0.129 0.677
I: 0.687 0.871 0.323
I: 0.881 0.290 0.126
Cl: 0.500 0.500 0.500

No. 8
A relaxed ErThOs crystal. Source: Alexandria, functional PBE.

Output
Distance to the lowest polymorph of the same formula, eV per atom: 0.0000
Space group: Pmma
Energy of formation, eV/atom: -0.286
M_tot, μB per formula unit: 0.00
DFT total energy, eV/cell: -144.415
D(E_F), states/eV per cell: 17.904

Unit cell a=14.347 b=3.907 c=8.165 alpha=90.00 beta=90.00 gamma=90.00
Positions (direct):
Er: 0.122 0.000 0.063
Er: 0.250 0.000 0.706
Er: 0.378 0.000 0.063
Er: 0.622 0.000 0.937
Er: 0.750 0.000 0.294
Er: 0.878 0.000 0.937
Th: 0.042 0.500 0.695
Th: 0.250 0.500 0.356
Th: 0.458 0.500 0.695
Th: 0.542 0.500 0.305
Th: 0.750 0.500 0.644
Th: 0.958 0.500 0.305
Os: 0.099 0.000 0.434
Os: 0.250 0.500 0.964
Os: 0.401 0.000 0.434
Os: 0.599 0.000 0.566
Os: 0.750 0.500 0.036
Os: 0.901 0.000 0.566

No. 9
A relaxed BeIr3Pt crystal. Source: Alexandria, functional PBE.

Output
Distance to the lowest polymorph of the same formula, eV per atom: 1.8479
Space group: Pm-3m
Energy of formation, eV/atom: 2.316
M_tot, μB per formula unit: 3.03
DFT total energy, eV/cell: -24.768
D(E_F), states/eV per cell: 9.236

Unit cell a=4.793 b=4.793 c=4.793 alpha=90.00 beta=90.00 gamma=90.00
Positions (direct):
Be: 0.000 0.000 0.000
Ir: 0.000 0.500 0.500
Ir: 0.500 0.000 0.500
Ir: 0.500 0.500 0.000
Pt: 0.500 0.500 0.500

No. 10
A relaxed CsErPuBr6 crystal. Source: Alexandria, functional PBE.

Output
Formation energy (no corrections), eV per atom: -1.73
Space group: P312
M_tot, μB per formula unit: 6.00
DFT total energy, eV/cell: -45.335
D(E_F), states/eV per cell: 18.103

Unit cell a=7.531 b=7.531 c=8.082 alpha=90.00 beta=90.00 gamma=120.00
Positions (direct):
Cs: 0.000 0.000 0.000
Er: 0.667 0.333 0.500
Pu: 0.333 0.667 0.500
Br: 0.382 0.019 0.705
Br: 0.382 0.362 0.295
Br: 0.638 0.019 0.295
Br: 0.638 0.618 0.705
Br: 0.981 0.362 0.705
Br: 0.981 0.618 0.295

No. 11
A relaxed CaMnFe2 crystal. Source: Alexandria, functional PBE.

Output
Distance to the lowest polymorph of the same formula, eV per atom: 0.3239
Space group: Cmmm
Energy of formation, eV/atom: 0.673
M_tot, μB per formula unit: 8.32
DFT total energy, eV/cell: -25.405
D(E_F), states/eV per cell: 5.181

Unit cell a=5.063 b=5.063 c=2.735 alpha=90.00 beta=90.00 gamma=115.02
Positions (direct):
Ca: 0.000 0.000 0.000
Mn: 0.500 0.500 0.000
Fe: 0.000 0.500 0.500
Fe: 0.500 0.000 0.500

Which value of M_tot does entry 8 give? 0.00 μB per formula unit

What is the formula in the second record? CrRe2Se

What is the DFT total energy in the third record? -18.721 eV/cell

What is the DFT total energy in the seventh record? -13.592 eV/cell